Record 1
VASP calculation (PBE) on a relaxed structure of Sm5Pb3.

Crystal system: hexagonal
Polymorph energy (0 for the lowest one) (eV per formula unit): 0.000
Formation enthalpy at 0 K (eV/atom): -0.55
DOS(E_F) (states/eV/cell): 12.95
Space group: P6_3/mcm

abc: 9.273 9.273 6.800
angles: 90.00 90.00 120.00
Fractional positions:
Sm (0.667, 0.333, 0.500)
Sm (0.333, 0.667, 0.500)
Sm (0.333, 0.667, 0.000)
Sm (0.667, 0.333, 0.000)
Sm (0.762, 0.762, 0.250)
Sm (0.238, 0.000, 0.250)
Sm (0.000, 0.238, 0.250)
Sm (0.238, 0.238, 0.750)
Sm (0.762, 0.000, 0.750)
Sm (0.000, 0.762, 0.750)
Pb (0.395, 0.395, 0.250)
Pb (0.605, 0.000, 0.250)
Pb (0.000, 0.605, 0.250)
Pb (0.605, 0.605, 0.750)
Pb (0.395, 0.000, 0.750)
Pb (0.000, 0.395, 0.750)

Record 2
VASP calculation (PBE) on a relaxed structure of Sm3Pb.

Crystal system: orthorhombic
Formation enthalpy at 0 K (eV/atom): -0.26
DOS(E_F) (states/eV/cell): 4.04
Space group: Imm2

abc: 3.653 6.032 6.686
angles: 116.82 105.85 90.00
Fractional positions:
Pb (0.000, 0.012, 0.000)
Sm (0.270, 0.609, 0.539)
Sm (0.500, 0.476, 0.000)
Sm (0.730, 0.070, 0.461)

Record 3
VASP calculation (PBE) on a relaxed structure of Sm5Pb.

Crystal system: orthorhombic
Formation enthalpy at 0 K (eV/atom): -0.19
DOS(E_F) (states/eV/cell): 6.84
Space group: Cmmm

abc: 4.984 4.942 8.129
angles: 107.69 90.00 90.00
Fractional positions:
Pb (0.000, 0.000, 0.000)
Sm (0.500, 0.834, 0.668)
Sm (0.000, 0.662, 0.325)
Sm (0.500, 0.500, 0.000)
Sm (0.000, 0.338, 0.675)
Sm (0.500, 0.166, 0.332)

Record 4
VASP calculation (PBE) on a relaxed structure of Sm3Pb.

Crystal system: tetragonal
Formation enthalpy at 0 K (eV/atom): -0.29
DOS(E_F) (states/eV/cell): 4.96
Space group: I4/mmm

abc: 4.845 4.845 6.223
angles: 112.91 112.91 90.00
Fractional positions:
Pb (0.000, 0.000, 0.000)
Sm (0.750, 0.250, 0.500)
Sm (0.250, 0.750, 0.500)
Sm (0.500, 0.500, 0.000)